DFT (PBE) results for VTcPt after structural relaxation.

The space group is Cm (No. 8) and the conventional cell measures 8.803, 3.974 and 5.431 Å, with angles of 90.00, 113.91 and 90.00 degrees. The asymmetric unit holds V at (0.000, 0.000, 0.000), V at (0.179, 0.500, 0.821), Tc at (0.177, 0.500, 0.317), Tc at (0.367, 0.000, 0.672), Pt at (0.020, 0.000, 0.503) and Pt at (0.334, 0.000, 0.149).

As for the formation energy: -286 meV/atom. As for the polymorph energy (0 for the lowest one): 81 meV per atom. The value obtained for the total energy is -105.53 eV per cell.